Ga2AgBiW, relaxed, DFT GGA-PBEsol; V = 23.1 A^3/atom; E_form = 5.87 eV/f.u.
1.0
4.6796 0.0000 0.0000
0.0000 4.6796 0.0000
0.0000 0.0000 5.2773
Bi Ga Ag W
1 2 1 1
Direct
0.5000 0.5000 0.5000
0.5000 0.0000 0.0000
0.0000 0.5000 0.0000
0.0000 0.0000 0.0000
0.0000 0.0000 0.5000

NbAgGe2Bi, relaxed, DFT GGA-PBEsol; V = 30.5 A^3/atom; E_form = 8.19 eV/f.u.
1.0
5.3268 0.0000 0.0000
0.0000 5.3517 0.0000
0.0000 0.0000 5.3517
Ge Ag Bi Nb
2 1 1 1
Direct
0.0000 0.5000 0.0000
0.0000 0.0000 0.5000
0.5000 0.5000 0.5000
0.0000 0.0000 0.0000
0.5000 0.0000 0.0000

AgBiH3, relaxed, DFT GGA-PBEsol; uncorrected energy = -2.901 eV/atom; V = 11.6 A^3/atom
1.0
3.8672 0.0000 0.0000
0.0000 3.8672 0.0000
0.0000 0.0000 3.8672
H Ag Bi
3 1 1
Direct
0.0000 0.5000 0.0000
0.0000 0.0000 0.5000
0.5000 0.0000 0.0000
0.0000 0.0000 0.0000
0.5000 0.5000 0.5000

MgAgBiH2, relaxed, DFT GGA-PBEsol; uncorrected energy = -2.824 eV/atom; V = 19.2 A^3/atom
1.0
-2.9430 0.9869 2.3933
-1.1785 -3.7371 0.0918
3.6795 -1.0387 4.9531
Mg Ag H Bi
1 1 2 1
Direct
0.0000 0.0000 0.0000
0.5000 0.5000 0.5000
0.5000 0.0000 0.0000
0.0000 0.5000 0.0000
0.0000 0.0000 0.5000